A geometry-optimized CuMoCl structure, computed with PBE.

Cell lengths 7.0722, 6.8367, 2.8762 Å; angles 82.70, 73.51, 23.79 degrees
With the nearest neighbours (Å) after each atom.
Element x y z (fractional)
Cu (0.0000, 0.0000, 0.0000)  2 Mo 2.55
Mo (0.6503, 0.6503, 0.3497)  2 Cl 2.50, 2 Cu 2.55
Cl (0.2958, 0.2958, 0.7042)  2 Mo 2.50

## Properties
The magnetization is 0.00 μB per cell. For the raw formation energy, the calculation gives 416 meV per atom. The calculation puts the density of states at the Fermi level at 0.21 states/eV/atom. The distance to the lowest polymorph of the same formula comes out at 196 meV per atom.


A geometry-optimized Cu2MoCl structure, computed with PBE.

Cell lengths 9.1389, 9.1389, 9.1389 Å; angles 18.33, 18.33, 18.33 degrees
With the nearest neighbours (Å) after each atom.
Element x y z (fractional)
Cu (0.0000, 0.0000, 0.0000)  3 Cu 2.49
Cu (0.2653, 0.2653, 0.2653)  3 Cu 2.49, 3 Mo 2.68
Mo (0.5210, 0.5210, 0.5210)  3 Cl 2.46, 3 Cu 2.68
Cl (0.7877, 0.7877, 0.7877)  3 Mo 2.46

## Properties
The magnetization is 0.00 μB per cell. For the raw formation energy, the calculation gives 197 meV per atom. The calculation puts the density of states at the Fermi level at 0.36 states/eV/atom. The distance to the lowest polymorph of the same formula comes out at 0 meV per atom.


A geometry-optimized CuMo3Cl7 structure, computed with PBE.

Cell lengths 13.1568, 13.1568, 13.1568 Å; angles 90.00, 90.00, 90.00 degrees
With the nearest neighbours (Å) after each atom.
Element x y z (fractional)
Cu (0.0619, 0.0619, 0.0619)  3 Cl 2.25
Cu (0.0619, 0.4381, 0.4381)  3 Cl 2.25
Cu (0.4381, 0.0619, 0.4381)  3 Cl 2.25
Cu (0.4381, 0.4381, 0.0619)  3 Cl 2.25
Cu (0.5619, 0.5619, 0.9381)  3 Cl 2.25
Cu (0.5619, 0.9381, 0.5619)  3 Cl 2.25
Cu (0.9381, 0.5619, 0.5619)  3 Cl 2.25
Cu (0.9381, 0.9381, 0.9381)  3 Cl 2.25
Mo (0.0239, 0.5295, 0.8640)  5 Cl 2.48-2.50, 4 Mo 2.62-2.63
Mo (0.0239, 0.9705, 0.6360)  5 Cl 2.48-2.50, 4 Mo 2.62-2.63
Mo (0.0295, 0.1360, 0.5239)  5 Cl 2.48-2.50, 4 Mo 2.62-2.63
Mo (0.0295, 0.3640, 0.9761)  5 Cl 2.48-2.50, 4 Mo 2.62-2.63
Mo (0.1360, 0.5239, 0.0295)  5 Cl 2.48-2.50, 4 Mo 2.62-2.63
Mo (0.1360, 0.9761, 0.4705)  5 Cl 2.48-2.50, 4 Mo 2.62-2.63
Mo (0.3640, 0.5239, 0.4705)  5 Cl 2.48-2.50, 4 Mo 2.62-2.63
Mo (0.3640, 0.9761, 0.0295)  5 Cl 2.48-2.50, 4 Mo 2.62-2.63
Mo (0.4705, 0.1360, 0.9761)  5 Cl 2.48-2.50, 4 Mo 2.62-2.63
Mo (0.4705, 0.3640, 0.5239)  5 Cl 2.48-2.50, 4 Mo 2.62-2.63
Mo (0.4761, 0.5295, 0.6360)  5 Cl 2.48-2.50, 4 Mo 2.62-2.63
Mo (0.4761, 0.9705, 0.8640)  5 Cl 2.48-2.50, 4 Mo 2.62-2.63
Mo (0.5239, 0.0295, 0.1360)  5 Cl 2.48-2.50, 4 Mo 2.62-2.63
Mo (0.5239, 0.4705, 0.3640)  5 Cl 2.48-2.50, 4 Mo 2.62-2.63
Mo (0.5295, 0.6360, 0.4761)  5 Cl 2.48-2.50, 4 Mo 2.62-2.63
Mo (0.5295, 0.8640, 0.0239)  5 Cl 2.48-2.50, 4 Mo 2.62-2.63
Mo (0.6360, 0.0239, 0.9705)  5 Cl 2.48-2.50, 4 Mo 2.62-2.63
Mo (0.6360, 0.4761, 0.5295)  5 Cl 2.48-2.50, 4 Mo 2.62-2.63
Mo (0.8640, 0.0239, 0.5295)  5 Cl 2.48-2.50, 4 Mo 2.62-2.63
Mo (0.8640, 0.4761, 0.9705)  5 Cl 2.48-2.50, 4 Mo 2.62-2.63
Mo (0.9705, 0.6360, 0.0239)  5 Cl 2.48-2.50, 4 Mo 2.62-2.63
Mo (0.9705, 0.8640, 0.4761)  5 Cl 2.48-2.50, 4 Mo 2.62-2.63
Mo (0.9761, 0.0295, 0.3640)  5 Cl 2.48-2.50, 4 Mo 2.62-2.63
Mo (0.9761, 0.4705, 0.1360)  5 Cl 2.48-2.50, 4 Mo 2.62-2.63
Cl (0.0575, 0.5749, 0.6838)  1 Cu 2.25, 1 Mo 2.48
Cl (0.0575, 0.9251, 0.8162)  1 Cu 2.25, 1 Mo 2.48
Cl (0.0749, 0.1838, 0.9425)  1 Cu 2.25, 1 Mo 2.48
Cl (0.0749, 0.3162, 0.5575)  1 Cu 2.25, 1 Mo 2.48
Cl (0.0775, 0.6243, 0.1790)  3 Mo 2.48-2.49
Cl (0.0775, 0.8757, 0.3210)  3 Mo 2.48-2.49
Cl (0.1243, 0.6790, 0.9225)  3 Mo 2.48-2.49
Cl (0.1243, 0.8210, 0.5775)  3 Mo 2.48-2.49
Cl (0.1343, 0.1343, 0.3657)  3 Mo 2.50
Cl (0.1343, 0.3657, 0.1343)  3 Mo 2.50
Cl (0.1790, 0.0775, 0.6243)  3 Mo 2.48-2.49
Cl (0.1790, 0.4225, 0.8757)  3 Mo 2.48-2.49
Cl (0.1838, 0.5575, 0.4251)  1 Cu 2.25, 1 Mo 2.48
Cl (0.1838, 0.9425, 0.0749)  1 Cu 2.25, 1 Mo 2.48
Cl (0.3162, 0.5575, 0.0749)  1 Cu 2.25, 1 Mo 2.48
Cl (0.3162, 0.9425, 0.4251)  1 Cu 2.25, 1 Mo 2.48
Cl (0.3210, 0.0775, 0.8757)  3 Mo 2.48-2.49
Cl (0.3210, 0.4225, 0.6243)  3 Mo 2.48-2.49
Cl (0.3657, 0.1343, 0.1343)  3 Mo 2.50
Cl (0.3657, 0.3657, 0.3657)  3 Mo 2.50
Cl (0.3757, 0.6790, 0.5775)  3 Mo 2.48-2.49
Cl (0.3757, 0.8210, 0.9225)  3 Mo 2.48-2.49
Cl (0.4225, 0.6243, 0.3210)  3 Mo 2.48-2.49
Cl (0.4225, 0.8757, 0.1790)  3 Mo 2.48-2.49
Cl (0.4251, 0.1838, 0.5575)  1 Cu 2.25, 1 Mo 2.48
Cl (0.4251, 0.3162, 0.9425)  1 Cu 2.25, 1 Mo 2.48
Cl (0.4425, 0.5749, 0.8162)  1 Cu 2.25, 1 Mo 2.48
Cl (0.4425, 0.9251, 0.6838)  1 Cu 2.25, 1 Mo 2.48
Cl (0.5575, 0.0749, 0.3162)  1 Cu 2.25, 1 Mo 2.48
Cl (0.5575, 0.4251, 0.1838)  1 Cu 2.25, 1 Mo 2.48
Cl (0.5749, 0.6838, 0.0575)  1 Cu 2.25, 1 Mo 2.48
Cl (0.5749, 0.8162, 0.4425)  1 Cu 2.25, 1 Mo 2.48
Cl (0.5775, 0.1243, 0.8210)  3 Mo 2.48-2.49
Cl (0.5775, 0.3757, 0.6790)  3 Mo 2.48-2.49
Cl (0.6243, 0.1790, 0.0775)  3 Mo 2.48-2.49
Cl (0.6243, 0.3210, 0.4225)  3 Mo 2.48-2.49
Cl (0.6343, 0.6343, 0.6343)  3 Mo 2.50
Cl (0.6343, 0.8657, 0.8657)  3 Mo 2.50
Cl (0.6790, 0.5775, 0.3757)  3 Mo 2.48-2.49
Cl (0.6790, 0.9225, 0.1243)  3 Mo 2.48-2.49
Cl (0.6838, 0.0575, 0.5749)  1 Cu 2.25, 1 Mo 2.48
Cl (0.6838, 0.4425, 0.9251)  1 Cu 2.25, 1 Mo 2.48
Cl (0.8162, 0.0575, 0.9251)  1 Cu 2.25, 1 Mo 2.48
Cl (0.8162, 0.4425, 0.5749)  1 Cu 2.25, 1 Mo 2.48
Cl (0.8210, 0.5775, 0.1243)  3 Mo 2.48-2.49
Cl (0.8210, 0.9225, 0.3757)  3 Mo 2.48-2.49
Cl (0.8657, 0.6343, 0.8657)  3 Mo 2.50
Cl (0.8657, 0.8657, 0.6343)  3 Mo 2.50
Cl (0.8757, 0.1790, 0.4225)  3 Mo 2.48-2.49
Cl (0.8757, 0.3210, 0.0775)  3 Mo 2.48-2.49
Cl (0.9225, 0.1243, 0.6790)  3 Mo 2.48-2.49
Cl (0.9225, 0.3757, 0.8210)  3 Mo 2.48-2.49
Cl (0.9251, 0.6838, 0.4425)  1 Cu 2.25, 1 Mo 2.48
Cl (0.9251, 0.8162, 0.0575)  1 Cu 2.25, 1 Mo 2.48
Cl (0.9425, 0.0749, 0.1838)  1 Cu 2.25, 1 Mo 2.48
Cl (0.9425, 0.4251, 0.3162)  1 Cu 2.25, 1 Mo 2.48

## Properties
The magnetization is 0.52 μB per cell. For the raw formation energy, the calculation gives -858 meV per atom. The calculation puts the density of states at the Fermi level at 0.00 states/eV/atom.


A geometry-optimized CuMoCl2 structure, computed with PBE.

Cell lengths 6.5639, 6.5639, 6.5639 Å; angles 154.00, 140.13, 48.22 degrees
With the nearest neighbours (Å) after each atom.
Element x y z (fractional)
Cu (0.0000, 0.0000, 0.0000)  2 Mo 2.64
Mo (0.1822, 0.6822, 0.5000)  6 Cl 2.53-2.69, 2 Cu 2.64
Cl (0.3539, 0.3539, 0.0000)  2 Mo 2.53
Cl (0.6614, 0.1614, 0.5000)  4 Mo 2.69, 2 Cl 2.95, 2 Cu 2.96

## Properties
The magnetization is 1.83 μB per cell. For the raw formation energy, the calculation gives 267 meV per atom. The calculation puts the density of states at the Fermi level at 0.52 states/eV/atom. The distance to the lowest polymorph of the same formula comes out at 380 meV per atom.


A geometry-optimized CuMoCl2 structure, computed with PBE.

Cell lengths 3.0030, 3.0030, 8.0772 Å; angles 90.00, 90.00, 90.00 degrees
With the nearest neighbours (Å) after each atom.
Element x y z (fractional)
Cu (0.0000, 0.0000, 0.0000)  4 Cl 2.54, 4 Mo 2.76
Mo (0.5000, 0.5000, 0.2176)  4 Cl 2.59, 4 Cu 2.76
Cl (0.0000, 0.0000, 0.4017)  4 Mo 2.59
Cl (0.5000, 0.5000, 0.8274)  4 Cu 2.54

## Properties
The magnetization is 0.11 μB per cell. For the raw formation energy, the calculation gives 67 meV per atom. The calculation puts the density of states at the Fermi level at 0.98 states/eV/atom. The distance to the lowest polymorph of the same formula comes out at 180 meV per atom.


A geometry-optimized Cu2MoCl structure, computed with PBE.

Cell lengths 4.4887, 4.4887, 4.4887 Å; angles 60.00, 60.00, 60.00 degrees
With the nearest neighbours (Å) after each atom.
Element x y z (fractional)
Cu (0.2500, 0.2500, 0.2500)  4 Cl 2.75, 4 Mo 2.75
Cu (0.7500, 0.7500, 0.7500)  4 Cl 2.75, 4 Mo 2.75
Mo (0.0000, 0.0000, 0.0000)  8 Cu 2.75
Cl (0.5000, 0.5000, 0.5000)  8 Cu 2.75

## Properties
The magnetization is 2.78 μB per cell. For the raw formation energy, the calculation gives 1052 meV per atom. The calculation puts the density of states at the Fermi level at 0.61 states/eV/atom. The distance to the lowest polymorph of the same formula comes out at 855 meV per atom.


A geometry-optimized Cu3MoCl9 structure, computed with PBE.

Cell lengths 9.2682, 9.2682, 12.7030 Å; angles 123.44, 123.44, 58.20 degrees
With the nearest neighbours (Å) after each atom.
Element x y z (fractional)
Cu (0.0531, 0.9469, 0.5000)  4 Cl 2.22-2.37
Cu (0.2919, 0.5852, 0.6272)  4 Cl 2.23-2.37
Cu (0.4523, 0.7683, 0.3702)  3 Cl 2.17-2.31
Cu (0.5852, 0.2919, 0.1272)  4 Cl 2.23-2.37
Cu (0.7683, 0.4523, 0.8702)  3 Cl 2.17-2.31
Cu (0.9469, 0.0531, 0.0000)  4 Cl 2.22-2.37
Mo (0.1189, 0.4653, 0.7979)  6 Cl 2.27-2.40
Mo (0.4653, 0.1189, 0.2979)  6 Cl 2.27-2.40
Cl (0.0171, 0.7711, 0.5452)  2 Cu 2.22-2.23
Cl (0.0197, 0.5370, 0.9608)  1 Cu 2.31, 1 Mo 2.35
Cl (0.1241, 0.7646, 0.8879)  1 Mo 2.36, 1 Cu 2.37
Cl (0.1540, 0.1586, 0.2224)  1 Cu 2.36, 1 Mo 2.37
Cl (0.1586, 0.1540, 0.7224)  1 Cu 2.36, 1 Mo 2.37
Cl (0.1738, 0.8637, 0.3544)  2 Cu 2.17-2.25
Cl (0.2300, 0.3788, 0.6345)  1 Cu 2.33, 1 Mo 2.38
Cl (0.3788, 0.2300, 0.1345)  1 Cu 2.33, 1 Mo 2.38
Cl (0.4045, 0.4315, 0.4515)  1 Cu 2.37, 1 Mo 2.40
Cl (0.4315, 0.4045, 0.9515)  1 Cu 2.37, 1 Mo 2.40
Cl (0.5243, 0.6722, 0.8170)  2 Cu 2.17-2.25
Cl (0.5370, 0.0197, 0.4608)  1 Cu 2.31, 1 Mo 2.35
Cl (0.5380, 0.8260, 0.1519)  1 Mo 2.27
Cl (0.6722, 0.5243, 0.3170)  2 Cu 2.17-2.25
Cl (0.7646, 0.1241, 0.3879)  1 Mo 2.36, 1 Cu 2.37
Cl (0.7711, 0.0171, 0.0452)  2 Cu 2.22-2.23
Cl (0.8260, 0.5380, 0.6519)  1 Mo 2.27
Cl (0.8637, 0.1738, 0.8544)  2 Cu 2.17-2.25

## Properties
The magnetization is 0.16 μB per cell. For the raw formation energy, the calculation gives -631 meV per atom. The calculation puts the density of states at the Fermi level at 0.36 states/eV/atom.


A geometry-optimized CuMo2Cl structure, computed with PBE.

Cell lengths 4.8936, 4.8936, 4.8936 Å; angles 133.40, 133.40, 68.03 degrees
With the nearest neighbours (Å) after each atom.
Element x y z (fractional)
Cu (0.0000, 0.0000, 0.0000)  8 Mo 2.74-2.80, 4 Cl 2.80
Mo (0.2500, 0.7500, 0.5000)  4 Cl 2.74, 4 Mo 2.80, 4 Cu 2.80
Mo (0.5000, 0.5000, 0.0000)  4 Cu 2.74, 4 Cl 2.80, 4 Mo 2.80
Cl (0.7500, 0.2500, 0.5000)  8 Mo 2.74-2.80, 4 Cu 2.80

## Properties
The magnetization is 0.00 μB per cell. For the raw formation energy, the calculation gives 907 meV per atom. The calculation puts the density of states at the Fermi level at 1.16 states/eV/atom. The distance to the lowest polymorph of the same formula comes out at 671 meV per atom.


magnetization of number 4 (CuMoCl2)?
1.83 μB per cell


Among the records above, which one has the lowest density of states at the Fermi level?
CuMo3Cl7


Which of these has the highest magnetization?
number 6